## Ta3Pb (PBE-GGA)

Data for a geometry-optimized Ta3Pb structure.

Results
Its raw total energy is -9.33 eV/atom. Its size of the total moment is 0.001 Bohr magnetons per cell.

The structure in CIF format:
```
data_Ta3Pb
_chemical_formula_sum 'Ta12 Pb4'
_symmetry_space_group_name_H-M 'F m -3 m'
_symmetry_Int_Tables_number 225
_symmetry_space_group_name_Hall '-F 4 2 3'
_cell_length_a 6.7803
_cell_length_b 6.7803
_cell_length_c 6.7803
_cell_angle_alpha 90.00
_cell_angle_beta 90.00
_cell_angle_gamma 90.00
loop_
_atom_site_label
_atom_site_type_symbol
_atom_site_fract_x
_atom_site_fract_y
_atom_site_fract_z
Ta1 Ta 0.0000 0.0000 0.0000
Ta2 Ta 0.2500 0.2500 0.2500
Pb1 Pb 0.0000 0.0000 0.5000
```

=====

## TaPb (PBE-GGA)

Data for a geometry-optimized TaPb structure.

Results
Its raw total energy is -7.40 eV/atom. Its size of the total moment is 0.000 Bohr magnetons per cell.

The structure in CIF format:
```
data_TaPb
_chemical_formula_sum 'Ta2 Pb2'
_symmetry_space_group_name_H-M 'P 4/n m m'
_symmetry_Int_Tables_number 129
_cell_length_a 3.0163
_cell_length_b 3.0163
_cell_length_c 11.0062
_cell_angle_alpha 90.00
_cell_angle_beta 90.00
_cell_angle_gamma 90.00
loop_
_symmetry_equiv_pos_as_xyz
'x,y,z'
'-x,-y,-z'
'-y+1/2,x,z'
'y+1/2,-x,-z'
'-x+1/2,-y+1/2,z'
'x+1/2,y+1/2,-z'
'y,-x+1/2,z'
'-y,x+1/2,-z'
'x+1/2,-y,-z'
'-x+1/2,y,z'
'-y,-x,-z'
'y,x,z'
'-x,y+1/2,-z'
'x,-y+1/2,z'
'y+1/2,x+1/2,-z'
'-y+1/2,-x+1/2,z'
loop_
_atom_site_label
_atom_site_type_symbol
_atom_site_fract_x
_atom_site_fract_y
_atom_site_fract_z
Ta1 Ta 0.2500 0.2500 0.0970
Pb1 Pb 0.2500 0.2500 0.6775
```

=====

## Ta3Pb5 (PBE-GGA)

Data for a geometry-optimized Ta3Pb5 structure.

Results
Its raw total energy is -6.05 eV/atom. Its size of the total moment is 0.000 Bohr magnetons per cell.

The structure in CIF format:
```
data_Ta3Pb5
_chemical_formula_sum 'Ta6 Pb10'
_symmetry_space_group_name_H-M 'P 63/m c m'
_symmetry_Int_Tables_number 193
_symmetry_space_group_name_Hall '-P 6c 2'
_cell_length_a 8.6855
_cell_length_b 8.6855
_cell_length_c 5.8420
_cell_angle_alpha 90.00
_cell_angle_beta 90.00
_cell_angle_gamma 120.00
loop_
_atom_site_label
_atom_site_type_symbol
_atom_site_fract_x
_atom_site_fract_y
_atom_site_fract_z
Ta1 Ta 0.0000 0.4009 0.2500
Pb1 Pb 0.0000 0.2395 0.7500
Pb2 Pb 0.3333 0.6667 0.0000
```

=====

## TaPb (PBE-GGA)

Data for a geometry-optimized TaPb structure.

Results
Its raw total energy is -7.14 eV/atom. Its size of the total moment is 0.000 Bohr magnetons per cell.

The structure in CIF format:
```
data_TaPb
_chemical_formula_sum 'Ta2 Pb2'
_symmetry_space_group_name_H-M 'P m m n'
_symmetry_Int_Tables_number 59
_cell_length_a 3.0775
_cell_length_b 5.4486
_cell_length_c 5.1930
_cell_angle_alpha 90.00
_cell_angle_beta 90.00
_cell_angle_gamma 90.00
loop_
_symmetry_equiv_pos_as_xyz
'x,y,z'
'-x,-y,-z'
'-x+1/2,-y+1/2,z'
'x+1/2,y+1/2,-z'
'x+1/2,-y,-z'
'-x+1/2,y,z'
'-x,y+1/2,-z'
'x,-y+1/2,z'
loop_
_atom_site_label
_atom_site_type_symbol
_atom_site_fract_x
_atom_site_fract_y
_atom_site_fract_z
Ta1 Ta 0.2500 0.2500 0.0931
Pb1 Pb 0.2500 0.7500 0.3980
```

=====

## TaPb (PBE-GGA)

Data for a geometry-optimized TaPb structure.

Results
Its raw total energy is -7.19 eV/atom. Its size of the total moment is 0.000 Bohr magnetons per cell.

The structure in CIF format:
```
data_TaPb
_chemical_formula_sum 'Ta4 Pb4'
_symmetry_space_group_name_H-M 'C m c m'
_symmetry_Int_Tables_number 63
_symmetry_space_group_name_Hall '-C 2c 2'
_cell_length_a 3.1402
_cell_length_b 11.4462
_cell_length_c 4.9547
_cell_angle_alpha 90.00
_cell_angle_beta 90.00
_cell_angle_gamma 90.00
loop_
_atom_site_label
_atom_site_type_symbol
_atom_site_fract_x
_atom_site_fract_y
_atom_site_fract_z
Ta1 Ta 0.0000 0.0697 0.2500
Pb1 Pb 0.0000 0.3389 0.2500
```

=====

## Ta3Pb (PBE-GGA)

Data for a geometry-optimized Ta3Pb structure.

Results
Its raw total energy is -9.48 eV/atom. Its size of the total moment is 0.000 Bohr magnetons per cell.

The structure in CIF format:
```
data_Ta3Pb
_chemical_formula_sum 'Ta3 Pb1'
_symmetry_space_group_name_H-M 'P 1 2/m 1'
_symmetry_Int_Tables_number 10
_cell_length_a 3.0108
_cell_length_b 4.8064
_cell_length_c 5.5585
_cell_angle_alpha 90.00
_cell_angle_beta 98.63
_cell_angle_gamma 90.00
loop_
_symmetry_equiv_pos_as_xyz
'x,y,z'
'-x,-y,-z'
'-x,y,-z'
'x,-y,z'
loop_
_atom_site_label
_atom_site_type_symbol
_atom_site_fract_x
_atom_site_fract_y
_atom_site_fract_z
Ta1 Ta 0.0000 0.0000 0.0000
Ta2 Ta 0.2607 0.5000 0.7734
Pb1 Pb 0.5000 0.0000 0.5000
```

=====

- Which value of raw total energy does entry 3 give?
  -6.05 eV/atom

=====

- raw total energy of number 1 (Ta3Pb)?
  -9.33 eV/atom

=====

- Among the records above, which one has the highest raw total energy?
  Ta3Pb5

=====

- raw total energy of number 4 (TaPb)?
  -7.14 eV/atom